# MgV2PdO6 (PBE with a Hubbard U, optimized geometry)
# - E_tot: -6.81 eV per atom
data_MgV2PdO6
_cell_length_a 9.574
_cell_length_b 9.989
_cell_length_c 5.875
_cell_angle_alpha 90.00
_cell_angle_beta 117.01
_cell_angle_gamma 90.00
_symmetry_space_group_name_H-M 'C 1 2/c 1'
_symmetry_Int_Tables_number 15
loop_
_symmetry_equiv_pos_as_xyz
'x,y,z'
'-x,-y,-z'
'-x,y,-z+1/2'
'x,-y,z+1/2'
'x+1/2,y+1/2,z'
'-x+1/2,-y+1/2,-z'
'-x+1/2,y+1/2,-z+1/2'
'x+1/2,-y+1/2,z+1/2'
loop_
_atom_site_label
_atom_site_type_symbol
_atom_site_fract_x
_atom_site_fract_y
_atom_site_fract_z
Mg1 Mg 0.000 0.086 0.250
V1 V 0.155 0.414 0.206
Pd1 Pd 0.000 0.249 0.750
O1 O 0.112 0.445 0.472
O2 O 0.114 0.244 0.144
O3 O 0.142 0.063 0.646